Entry 1:
Material: Au2S13
Method: DFT, PBE-GGA
State: optimized geometry

Summary:
- space group = No. 2
- uncorrected formation energy (meV/atom) = 150
- energy (eV/atom) = -3.8641

Cell: 10.1157 9.4279 7.5291 Å, 58.80 57.33 66.62°
Last column: nearest neighbours and their distance in Å.
Element x y z (fractional)
Au (0.6175, 0.6253, 0.1106)  3 S 2.27-2.41
Au (0.3825, 0.3747, 0.8894)  3 S 2.27-2.41
S (0.5000, 0.5000, 0.5000)  2 Au 2.27
S (0.8726, 0.5889, 0.8054)  1 S 1.92
S (0.7542, 0.7150, 0.4596)  1 S 1.89
S (0.5388, 0.8477, 0.8129)  1 S 1.91
S (0.4612, 0.1523, 0.1871)  1 S 1.91
S (0.1274, 0.4111, 0.1946)  1 S 1.92
S (0.2458, 0.2850, 0.5404)  1 S 1.89
S (0.9662, 0.7896, 0.6156)  1 S 1.92
S (0.8603, 0.8974, 0.3180)  1 S 1.89
S (0.6666, 0.0214, 0.6270)  1 S 1.91
S (0.3334, 0.9786, 0.3730)  1 S 1.91
S (0.0338, 0.2104, 0.3844)  1 S 1.92
S (0.1397, 0.1026, 0.6820)  1 S 1.89

---

Entry 2:
Material: DyY2HoEr6
Method: DFT, PBE-GGA
State: optimized geometry

Summary:
- space group = No. 15
- formation energy from the elements (meV/atom) = 130
- energy (eV/atom) = -4.8181

Cell: 8.8149 8.9848 8.9848 Å, 117.65 89.95 89.95°
Last column: nearest neighbours and their distance in Å.
Element x y z (fractional)
Dy (0.2500, 0.9405, 0.0595)  6 Er 3.26-3.60, 4 Y 3.32-3.62
Dy (0.7500, 0.0595, 0.9405)  6 Er 3.26-3.60, 4 Y 3.32-3.62
Y (0.4367, 0.8010, 0.6988)  2 Ho 3.31-3.61, 2 Dy 3.32-3.62, 6 Er 3.37-3.69
Y (0.0633, 0.3012, 0.1990)  2 Ho 3.31-3.61, 2 Dy 3.32-3.62, 6 Er 3.37-3.69
Y (0.5633, 0.1990, 0.3012)  2 Ho 3.31-3.61, 2 Dy 3.32-3.62, 6 Er 3.37-3.69
Y (0.9367, 0.6988, 0.8010)  2 Ho 3.31-3.61, 2 Dy 3.32-3.62, 6 Er 3.37-3.69
Ho (0.2500, 0.4417, 0.5583)  6 Er 3.26-3.60, 4 Y 3.31-3.61
Ho (0.7500, 0.5583, 0.4417)  6 Er 3.26-3.60, 4 Y 3.31-3.61
Er (0.0765, 0.0728, 0.7774)  2 Dy 3.26-3.60, 4 Er 3.27-3.40, 1 Y 3.37
Er (0.4235, 0.2226, 0.9272)  2 Dy 3.26-3.60, 4 Er 3.27-3.40, 1 Y 3.37
Er (0.9235, 0.9272, 0.2226)  2 Dy 3.26-3.60, 4 Er 3.27-3.40, 1 Y 3.37
Er (0.5765, 0.7774, 0.0728)  2 Dy 3.26-3.60, 4 Er 3.27-3.40, 1 Y 3.37
Er (0.3152, 0.0312, 0.4703)  3 Er 3.35-3.39, 2 Y 3.39-3.69, 1 Dy 3.44, 1 Ho 3.44
Er (0.1848, 0.5297, 0.9688)  3 Er 3.35-3.39, 2 Y 3.39-3.69, 1 Dy 3.44, 1 Ho 3.44
Er (0.6848, 0.9688, 0.5297)  3 Er 3.35-3.39, 2 Y 3.39-3.69, 1 Dy 3.44, 1 Ho 3.44
Er (0.8152, 0.4703, 0.0312)  3 Er 3.35-3.39, 2 Y 3.39-3.69, 1 Dy 3.44, 1 Ho 3.44
Er (0.0750, 0.7225, 0.4249)  2 Ho 3.26-3.60, 4 Er 3.27-3.40, 1 Y 3.37
Er (0.4250, 0.5751, 0.2775)  2 Ho 3.26-3.60, 4 Er 3.27-3.40, 1 Y 3.37
Er (0.9250, 0.2775, 0.5751)  2 Ho 3.26-3.60, 4 Er 3.27-3.40, 1 Y 3.37
Er (0.5750, 0.4249, 0.7225)  2 Ho 3.26-3.60, 4 Er 3.27-3.40, 1 Y 3.37